{
  "formula": "Si2HgMo",
  "functional": "GGA-PBEsol",
  "state": "relaxed",
  "cell": [[4.323, 0.000, 0.000], [0.000, 4.323, 0.000], [0.000, 0.000, 3.296]],
  "species": ["Si", "Si", "Hg", "Mo"],
  "frac_coords": [[0.000, 0.500, 0.000], [0.500, 0.000, 0.000], [0.000, 0.000, 0.500], [0.500, 0.500, 0.500]],
  "e_form_raw_mev_per_atom": 344
}



{
  "formula": "Mn2HO4",
  "functional": "GGA-PBEsol",
  "state": "relaxed",
  "cell": [[5.569, 0.000, 0.000], [0.000, 6.074, 0.000], [0.000, 0.000, 8.007]],
  "species": ["Mn", "Mn", "Mn", "Mn", "Mn", "Mn", "Mn", "Mn", "H", "H", "H", "H", "O", "O", "O", "O", "O", "O", "O", "O", "O", "O", "O", "O", "O", "O", "O", "O"],
  "frac_coords": [[0.000, 0.000, 0.000], [0.000, 0.500, 0.000], [0.222, 0.250, 0.249], [0.278, 0.750, 0.749], [0.500, 0.000, 0.500], [0.500, 0.500, 0.500], [0.722, 0.250, 0.251], [0.778, 0.750, 0.751], [0.091, 0.250, 0.560], [0.409, 0.750, 0.060], [0.591, 0.250, 0.940], [0.909, 0.750, 0.440], [0.026, 0.539, 0.765], [0.026, 0.961, 0.765], [0.211, 0.250, 0.015], [0.244, 0.250, 0.496], [0.256, 0.750, 0.996], [0.289, 0.750, 0.515], [0.474, 0.039, 0.265], [0.474, 0.461, 0.265], [0.526, 0.539, 0.735], [0.526, 0.961, 0.735], [0.711, 0.250, 0.485], [0.744, 0.250, 0.004], [0.756, 0.750, 0.504], [0.789, 0.750, 0.985], [0.974, 0.039, 0.235], [0.974, 0.461, 0.235]],
  "e_tot_ev_per_cell": -216.19
}



{
  "formula": "Li2Ca",
  "functional": "GGA-PBEsol",
  "state": "relaxed",
  "cell": [[3.918, 0.000, 0.000], [0.000, 15.632, 0.000], [0.000, 0.000, 5.378]],
  "species": ["Li", "Li", "Li", "Li", "Li", "Li", "Li", "Li", "Ca", "Ca", "Ca", "Ca"],
  "frac_coords": [[0.000, 0.096, 0.250], [0.000, 0.263, 0.750], [0.000, 0.737, 0.250], [0.000, 0.904, 0.750], [0.500, 0.237, 0.250], [0.500, 0.404, 0.750], [0.500, 0.596, 0.250], [0.500, 0.763, 0.750], [0.000, 0.415, 0.250], [0.000, 0.585, 0.750], [0.500, 0.085, 0.750], [0.500, 0.915, 0.250]],
  "polymorph_energy_ev_per_atom": 0.0491,
  "formation_energy_ev_per_atom": 0.0336
}



{
  "formula": "Zr2AgCl",
  "functional": "GGA-PBEsol",
  "state": "relaxed",
  "cell": [[3.117, 0.000, 0.000], [0.000, 5.383, 0.000], [0.000, 0.000, 9.374]],
  "species": ["Zr", "Zr", "Zr", "Zr", "Ag", "Ag", "Cl", "Cl"],
  "frac_coords": [[0.000, 0.000, 0.222], [0.000, 0.000, 0.778], [0.500, 0.500, 0.278], [0.500, 0.500, 0.722], [0.000, 0.500, 0.000], [0.500, 0.000, 0.500], [0.000, 0.500, 0.500], [0.500, 0.000, 0.000]],
  "polymorph_energy_ev_per_atom": 0.2076,
  "e_form_raw_mev_per_atom": -173
}



{
  "formula": "In2CuTc",
  "functional": "GGA-PBEsol",
  "state": "relaxed",
  "cell": [[3.383, 0.000, 0.000], [0.000, 4.404, 0.000], [0.000, 0.000, 4.405]],
  "species": ["In", "In", "Cu", "Tc"],
  "frac_coords": [[0.000, 0.000, 0.000], [0.000, 0.500, 0.499], [0.500, 0.000, 0.501], [0.500, 0.500, 0.999]],
  "polymorph_energy_ev_per_atom": 0.0000,
  "formation_energy_ev_per_atom": 0.1725
}



{
  "formula": "IrPbSe",
  "functional": "GGA-PBEsol",
  "state": "relaxed",
  "cell": [[6.422, 0.000, 0.000], [0.000, 6.422, 0.000], [0.000, 0.000, 6.422]],
  "species": ["Ir", "Ir", "Ir", "Ir", "Pb", "Pb", "Pb", "Pb", "Se", "Se", "Se", "Se"],
  "frac_coords": [[0.000, 0.000, 0.000], [0.000, 0.500, 0.500], [0.500, 0.000, 0.500], [0.500, 0.500, 0.000], [0.000, 0.000, 0.500], [0.000, 0.500, 0.000], [0.500, 0.000, 0.000], [0.500, 0.500, 0.500], [0.250, 0.250, 0.250], [0.250, 0.750, 0.750], [0.750, 0.250, 0.750], [0.750, 0.750, 0.250]],
  "e_form_raw_mev_per_atom": 791
}



- What is the formula in the third record?
  Li2Ca